DFT (GGA-PBE) results for a relaxed ZrFe2Se crystal.

Lattice parameters (Å, degrees): 4.872 4.872 4.284 74.23 74.23 39.80
Last column: magnetic moment on the atom in μB.
Positions (direct):
Fe (0.008, 0.008, 0.975)  2.24
Se (0.750, 0.750, 0.750)  0.03
Fe (0.492, 0.492, 0.525)  2.24
Zr (0.250, 0.250, 0.250)  -0.41

E_tot	-7.326	eV per atom
D(E_F)	3.647	states/eV/cell
crystal system	monoclinic
formation energy (no corrections)	-0.087	eV per atom